Record 1
Here is an optimized crystal structure of BaCu2Os from the Alexandria database. Energies are from PBE.

The structure in POSCAR format:
```
BaCu2Os
1.0
3.2969 0.0000 0.0000
0.0000 3.2969 0.0000
0.0000 0.0000 7.0456
Ba Cu Os
1 2 1
direct
0.0000 0.0000 0.0000
0.5000 0.5000 0.3316
0.5000 0.5000 0.6684
0.0000 0.0000 0.5000
```

Results
Energy above the most stable polymorph in this dataset ... 283.8 meV per atom
Formation enthalpy at 0 K ... 0.619 eV/atom
N(E_F) ... 1.31 states/eV per atom

---

Record 2
Here is an optimized crystal structure of BaCu2Os from the Alexandria database. Energies are from PBE.

The structure in POSCAR format:
```
BaCu2Os
1.0
2.9852 0.0000 0.0000
0.0000 4.1440 0.0000
-0.9857 0.0000 6.5215
Ba Cu Os
1 2 1
direct
0.0000 0.0000 0.0000
0.6164 0.5000 0.3172
0.6632 0.0000 0.5411
0.2195 0.5000 0.6297
```

Results
Energy above the most stable polymorph in this dataset ... 315.4 meV per atom
Formation enthalpy at 0 K ... 0.650 eV/atom
N(E_F) ... 0.80 states/eV per atom

---

Record 3
Here is an optimized crystal structure of Ba4CuOs from the Alexandria database. Energies are from PBE.

The structure in POSCAR format:
```
Ba4CuOs
1.0
0.0000 4.7708 4.7708
4.7708 0.0000 4.7708
4.7708 4.7708 0.0000
Ba Cu Os
4 1 1
direct
0.3758 0.3758 0.3758
0.3758 0.3758 0.8725
0.3758 0.8725 0.3758
0.8725 0.3758 0.3758
0.0000 0.0000 0.0000
0.7500 0.7500 0.7500
```

Results
Formation enthalpy at 0 K ... 1.356 eV/atom
N(E_F) ... 0.78 states/eV per atom

---

Record 4
Here is an optimized crystal structure of BaCu2Os from the Alexandria database. Energies are from PBE.

The structure in POSCAR format:
```
BaCu2Os
1.0
3.2117 0.0000 0.0000
0.0000 3.2117 0.0000
0.0000 0.0000 7.4544
Ba Cu Os
1 2 1
direct
0.0000 0.0000 0.0000
0.0000 0.0000 0.5113
0.5000 0.5000 0.3393
0.5000 0.5000 0.6771
```

Results
Energy above the most stable polymorph in this dataset ... 371.4 meV per atom
Formation enthalpy at 0 K ... 0.706 eV/atom
N(E_F) ... 0.88 states/eV per atom

---

Record 5
Here is an optimized crystal structure of BaCu2Os from the Alexandria database. Energies are from PBE.

The structure in POSCAR format:
```
BaCu2Os
1.0
1.5076 0.8704 9.3657
-1.5076 0.8704 9.3657
0.0000 -1.7409 9.3657
Ba Cu Os
1 2 1
direct
0.0000 0.0000 0.0000
0.4972 0.4972 0.4972
0.7677 0.7677 0.7677
0.2329 0.2329 0.2329
```

Results
Energy above the most stable polymorph in this dataset ... 651.2 meV per atom
Formation enthalpy at 0 K ... 0.986 eV/atom
N(E_F) ... 0.79 states/eV per atom

---

Record 6
Here is an optimized crystal structure of BaCuOs from the Alexandria database. Energies are from PBE.

The structure in POSCAR format:
```
BaCuOs
1.0
3.0912 0.0000 0.0000
-1.5456 2.6771 0.0000
0.0000 0.0000 7.6023
Ba Cu Os
1 1 1
direct
0.0000 0.0000 0.0000
0.6667 0.3333 0.3896
0.3333 0.6667 0.6348
```

Results
Energy above the most stable polymorph in this dataset ... 587.9 meV per atom
Formation enthalpy at 0 K ... 1.282 eV/atom
N(E_F) ... 1.32 states/eV per atom

---

Record 7
Here is an optimized crystal structure of BaCu2Os from the Alexandria database. Energies are from PBE.

The structure in POSCAR format:
```
BaCu2Os
1.0
0.0000 3.3818 3.3818
3.3818 0.0000 3.3818
3.3818 3.3818 0.0000
Ba Cu Os
1 2 1
direct
0.0000 0.0000 0.0000
0.2500 0.2500 0.2500
0.5000 0.5000 0.5000
0.7500 0.7500 0.7500
```

Results
Energy above the most stable polymorph in this dataset ... 795.4 meV per atom
Formation enthalpy at 0 K ... 1.130 eV/atom
N(E_F) ... 1.28 states/eV per atom

---

Record 8
Here is an optimized crystal structure of BaCu2Os from the Alexandria database. Energies are from PBE.

The structure in POSCAR format:
```
BaCu2Os
1.0
3.7410 -2.1597 0.0000
3.7410 2.1597 0.0000
-2.5030 0.0000 5.5970
Ba Cu Os
1 2 1
direct
0.0000 0.0000 0.0000
0.5066 0.5066 0.5168
0.8204 0.8204 0.4582
0.1843 0.1843 0.5495
```

Results
Energy above the most stable polymorph in this dataset ... 0.0 meV per atom
Formation enthalpy at 0 K ... 0.335 eV/atom
N(E_F) ... 0.88 states/eV per atom

---

Record 9
Here is an optimized crystal structure of BaCu2Os from the Alexandria database. Energies are from PBE.

The structure in POSCAR format:
```
BaCu2Os
1.0
1.5005 0.8663 9.5842
-1.5005 0.8663 9.5842
0.0000 -1.7327 9.5842
Ba Cu Os
1 2 1
direct
0.0000 0.0000 0.0000
0.2338 0.2338 0.2338
0.7662 0.7662 0.7662
0.5000 0.5000 0.5000
```

Results
Energy above the most stable polymorph in this dataset ... 665.4 meV per atom
Formation enthalpy at 0 K ... 1.000 eV/atom
N(E_F) ... 0.70 states/eV per atom

---

Record 10
Here is an optimized crystal structure of BaCu2Os from the Alexandria database. Energies are from PBE.

The structure in POSCAR format:
```
BaCu2Os
1.0
3.7252 -2.1533 0.0000
3.7252 2.1533 0.0000
-2.5188 0.0000 5.5419
Ba Cu Os
1 2 1
direct
0.0000 0.0000 0.0000
0.1872 0.1872 0.5611
0.8128 0.8128 0.4389
0.5000 0.5000 0.5000
```

Results
Energy above the most stable polymorph in this dataset ... 3.2 meV per atom
Formation enthalpy at 0 K ... 0.338 eV/atom
N(E_F) ... 1.06 states/eV per atom

---

Record 11
Here is an optimized crystal structure of BaCu2Os from the Alexandria database. Energies are from PBE.

The structure in POSCAR format:
```
BaCu2Os
1.0
-1.4715 2.5942 4.9814
1.4715 -2.5942 4.9814
1.4715 2.5942 -4.9814
Ba Cu Os
1 2 1
direct
0.0000 0.0000 0.0000
0.2823 0.7823 0.5000
0.4899 0.4899 0.0000
0.7051 0.2051 0.5000
```

Results
Energy above the most stable polymorph in this dataset ... 529.2 meV per atom
Formation enthalpy at 0 K ... 0.864 eV/atom
N(E_F) ... 0.81 states/eV per atom

---

Record 12
Here is an optimized crystal structure of BaCuOs from the Alexandria database. Energies are from PBE.

The structure in POSCAR format:
```
BaCuOs
1.0
0.0000 3.4910 3.4910
3.4910 0.0000 3.4910
3.4910 3.4910 0.0000
Ba Cu Os
1 1 1
direct
0.0000 0.0000 0.0000
0.7500 0.7500 0.7500
0.2500 0.2500 0.2500
```

Results
Energy above the most stable polymorph in this dataset ... 1266.4 meV per atom
Formation enthalpy at 0 K ... 1.960 eV/atom
N(E_F) ... 2.26 states/eV per atom

---

Record 13
Here is an optimized crystal structure of BaCuOs from the Alexandria database. Energies are from PBE.

The structure in POSCAR format:
```
BaCuOs
1.0
-1.7256 1.7256 5.5640
1.7256 -1.7256 5.5640
1.7256 1.7256 -5.5640
Ba Cu Os
1 1 1
direct
0.0000 0.0000 0.0000
0.7244 0.7244 0.0000
0.2841 0.2841 0.0000
```

Results
Energy above the most stable polymorph in this dataset ... 18.4 meV per atom
Formation enthalpy at 0 K ... 0.712 eV/atom
N(E_F) ... 0.88 states/eV per atom

---

Record 14
Here is an optimized crystal structure of BaCu2Os from the Alexandria database. Energies are from PBE.

The structure in POSCAR format:
```
BaCu2Os
1.0
-2.1381 2.8793 3.6990
2.1381 -2.8793 3.6990
2.1381 2.8793 -3.6990
Ba Cu Os
1 2 1
direct
0.0000 0.0000 0.0000
0.3292 0.8292 0.5000
0.6708 0.1708 0.5000
0.5000 0.5000 0.0000
```

Results
Energy above the most stable polymorph in this dataset ... 475.7 meV per atom
Formation enthalpy at 0 K ... 0.811 eV/atom
N(E_F) ... 0.87 states/eV per atom

---

Record 15
Here is an optimized crystal structure of BaCu2Os from the Alexandria database. Energies are from PBE.

The structure in POSCAR format:
```
BaCu2Os
1.0
4.9673 0.0000 0.0000
0.0000 4.9673 0.0000
0.0000 0.0000 2.9547
Ba Cu Os
1 2 1
direct
0.0000 0.0000 0.0000
0.0000 0.5000 0.5000
0.5000 0.0000 0.5000
0.5000 0.5000 0.0000
```

Results
Energy above the most stable polymorph in this dataset ... 540.2 meV per atom
Formation enthalpy at 0 K ... 0.875 eV/atom
N(E_F) ... 0.29 states/eV per atom

---

Record 16
Here is an optimized crystal structure of Ba3CuOs from the Alexandria database. Energies are from PBE.

The structure in POSCAR format:
```
Ba3CuOs
1.0
5.9479 0.0000 0.0000
0.0000 5.9479 0.0000
0.0000 0.0000 5.9479
Ba Cu Os
3 1 1
direct
0.0000 0.0000 0.5000
0.0000 0.5000 0.0000
0.5000 0.0000 0.0000
0.5000 0.5000 0.5000
0.0000 0.0000 0.0000
```

Results
Energy above the most stable polymorph in this dataset ... 0.0 meV per atom
Formation enthalpy at 0 K ... 0.576 eV/atom
N(E_F) ... 1.35 states/eV per atom

---

Record 17
Here is an optimized crystal structure of BaCu2Os from the Alexandria database. Energies are from PBE.

The structure in POSCAR format:
```
BaCu2Os
1.0
0.0000 3.3977 3.3977
3.3977 0.0000 3.3977
3.3977 3.3977 0.0000
Ba Cu Os
1 2 1
direct
0.0000 0.0000 0.0000
0.2500 0.2500 0.2500
0.7500 0.7500 0.7500
0.5000 0.5000 0.5000
```

Results
Energy above the most stable polymorph in this dataset ... 637.1 meV per atom
Formation enthalpy at 0 K ... 0.972 eV/atom
N(E_F) ... 1.57 states/eV per atom

---

Record 18
Here is an optimized crystal structure of BaCu2Os from the Alexandria database. Energies are from PBE.

The structure in POSCAR format:
```
BaCu2Os
1.0
-2.0702 2.0702 4.5116
2.0702 -2.0702 4.5116
2.0702 2.0702 -4.5116
Ba Cu Os
1 2 1
direct
0.0000 0.0000 0.0000
0.2500 0.7500 0.5000
0.5000 0.5000 0.0000
0.7500 0.2500 0.5000
```

Results
Energy above the most stable polymorph in this dataset ... 697.8 meV per atom
Formation enthalpy at 0 K ... 1.033 eV/atom
N(E_F) ... 0.58 states/eV per atom

---

Record 19
Here is an optimized crystal structure of BaCu2OsPd from the Alexandria database. Energies are from PBE.

The structure in POSCAR format:
```
BaCu2OsPd
1.0
5.1694 0.0000 0.0000
0.0000 5.1694 0.0000
0.0000 0.0000 5.2099
Ba Cu Os Pd
1 2 1 1
direct
0.0000 0.0000 0.0000
0.0000 0.5000 0.0000
0.5000 0.0000 0.0000
0.5000 0.5000 0.5000
0.0000 0.0000 0.5000
```

Results
Formation enthalpy at 0 K ... 2.361 eV/atom
N(E_F) ... 1.41 states/eV per atom

---

Record 20
Here is an optimized crystal structure of BaCuOs2Se from the Alexandria database. Energies are from PBE.

The structure in POSCAR format:
```
BaCuOs2Se
1.0
5.2594 0.0000 0.0000
0.0000 5.2594 0.0000
0.0000 0.0000 5.9885
Ba Cu Os Se
1 1 2 1
direct
0.0000 0.0000 0.0000
0.5000 0.5000 0.5000
0.0000 0.5000 0.0000
0.5000 0.0000 0.0000
0.0000 0.0000 0.5000
```

Results
Raw formation energy ... 1442 kJ/mol of formula units
N(E_F) ... 0.91 states/eV per atom

---

Record 21
Here is an optimized crystal structure of BaSr2CuOs from the Alexandria database. Energies are from PBE.

The structure in POSCAR format:
```
BaSr2CuOs
1.0
5.8178 0.0000 0.0000
0.0000 5.8178 0.0000
0.0000 0.0000 5.0473
Ba Sr Cu Os
1 2 1 1
direct
0.0000 0.0000 0.0000
0.0000 0.5000 0.5000
0.5000 0.0000 0.5000
0.5000 0.5000 0.0000
0.5000 0.5000 0.5000
```

Results
Formation enthalpy at 0 K ... 0.599 eV/atom
N(E_F) ... 1.26 states/eV per atom

---

Record 22
Here is an optimized crystal structure of BaTiCu2Os from the Alexandria database. Energies are from PBE.

The structure in POSCAR format:
```
BaTiCu2Os
1.0
4.8131 0.0000 0.0000
0.0000 4.8131 0.0000
0.0000 0.0000 5.2983
Ba Ti Cu Os
1 1 2 1
direct
0.0000 0.0000 0.0000
0.5000 0.5000 0.0000
0.0000 0.5000 0.5000
0.5000 0.0000 0.5000
0.0000 0.0000 0.5000
```

Results
Formation enthalpy at 0 K ... 1.473 eV/atom
N(E_F) ... 2.08 states/eV per atom

---

Record 23
Here is an optimized crystal structure of Ba2CuP from the Alexandria database. Energies are from PBE.

The structure in POSCAR format:
```
Ba2CuP
1.0
4.0465 0.0000 0.0000
0.0000 5.4982 0.0000
-0.0005 0.0000 5.4952
Ba Cu P
2 1 1
direct
0.0000 0.0000 0.0000
0.0054 0.5000 0.5014
0.5034 0.0000 0.4987
0.5025 0.5000 0.0022
```

Results
Formation enthalpy at 0 K ... -0.415 eV/atom
N(E_F) ... 0.39 states/eV per atom

---

Record 24
Here is an optimized crystal structure of BaCu2P from the Alexandria database. Energies are from PBE.

The structure in POSCAR format:
```
BaCu2P
1.0
-2.4607 2.4607 3.5419
2.4607 -2.4607 3.5419
2.4607 2.4607 -3.5419
Ba Cu P
1 2 1
direct
0.0000 0.0000 0.0000
0.2500 0.7500 0.5000
0.5000 0.5000 0.0000
0.7500 0.2500 0.5000
```

Results
Formation enthalpy at 0 K ... 0.229 eV/atom
N(E_F) ... 0.47 states/eV per atom

---

Record 25
Here is an optimized crystal structure of Ba3CuP from the Alexandria database. Energies are from PBE.

The structure in POSCAR format:
```
Ba3CuP
1.0
6.2095 0.0000 0.0000
0.0000 6.2095 0.0000
0.0000 0.0000 6.2095
Ba Cu P
3 1 1
direct
0.0000 0.0000 0.5000
0.0000 0.5000 0.0000
0.5000 0.0000 0.0000
0.5000 0.5000 0.5000
0.0000 0.0000 0.0000
```

Results
Energy above the most stable polymorph in this dataset ... 0.0 meV per atom
Formation enthalpy at 0 K ... -0.199 eV/atom
N(E_F) ... 1.04 states/eV per atom

---

Record 26
Here is an optimized crystal structure of BaCu2P from the Alexandria database. Energies are from PBE.

The structure in POSCAR format:
```
BaCu2P
1.0
4.4835 0.0000 0.0000
0.0000 4.4835 0.0000
0.0000 0.0000 4.3635
Ba Cu P
1 2 1
direct
0.0000 0.0000 0.0000
0.0000 0.5000 0.5000
0.5000 0.0000 0.5000
0.5000 0.5000 0.0000
```

Results
Formation enthalpy at 0 K ... 0.341 eV/atom
N(E_F) ... 0.47 states/eV per atom

---

Record 27
Here is an optimized crystal structure of BaCuP3 from the Alexandria database. Energies are from PBE.

The structure in POSCAR format:
```
BaCuP3
1.0
4.7502 0.0000 0.0000
0.0000 4.7502 0.0000
0.0000 0.0000 4.7502
Ba Cu P
1 1 3
direct
0.0000 0.0000 0.0000
0.5000 0.5000 0.5000
0.0000 0.5000 0.5000
0.5000 0.0000 0.5000
0.5000 0.5000 0.0000
```

Results
Energy above the most stable polymorph in this dataset ... 0.0 meV per atom
Formation enthalpy at 0 K ... 0.035 eV/atom
N(E_F) ... 0.74 states/eV per atom

---

Record 28
Here is an optimized crystal structure of BaCu2P from the Alexandria database. Energies are from PBE.

The structure in POSCAR format:
```
BaCu2P
1.0
4.4962 0.0000 0.0000
0.0000 4.1905 0.0000
-0.5480 0.0000 4.9764
Ba Cu P
1 2 1
direct
0.0000 0.0000 0.0000
0.2472 0.5000 0.5292
0.5349 0.0000 0.4901
0.7395 0.5000 0.4423
```

Results
Formation enthalpy at 0 K ... -0.337 eV/atom
N(E_F) ... 0.42 states/eV per atom

---

Record 29
Here is an optimized crystal structure of BaCu6P4 from the Alexandria database. Energies are from PBE.

The structure in POSCAR format:
```
BaCu6P4
1.0
-1.9688 1.9688 11.7042
1.9688 -1.9688 11.7042
1.9688 1.9688 -11.7042
Ba Cu P
1 6 4
direct
0.0000 0.0000 0.0000
0.1326 0.6326 0.5000
0.2500 0.7500 0.5000
0.3674 0.8674 0.5000
0.6326 0.1326 0.5000
0.7500 0.2500 0.5000
0.8674 0.3674 0.5000
0.1926 0.1926 0.0000
0.4202 0.4202 0.0000
0.5798 0.5798 0.0000
0.8074 0.8074 0.0000
```

Results
Energy above the most stable polymorph in this dataset ... 0.0 meV per atom
Formation enthalpy at 0 K ... -0.284 eV/atom
N(E_F) ... 0.38 states/eV per atom

---

Record 30
Here is an optimized crystal structure of Ba2Cu2P from the Alexandria database. Energies are from PBE.

The structure in POSCAR format:
```
Ba2Cu2P
1.0
-3.1118 3.1118 3.4963
3.1118 -3.1118 3.4963
3.1118 3.1118 -3.4963
Ba Cu P
2 2 1
direct
0.2500 0.7500 0.5000
0.7500 0.2500 0.5000
0.1680 0.1680 0.0000
0.8320 0.8320 0.0000
0.5000 0.5000 0.0000
```

Results
Energy above the most stable polymorph in this dataset ... 0.0 meV per atom
Formation enthalpy at 0 K ... -0.200 eV/atom
N(E_F) ... 0.88 states/eV per atom